Run P
A plane-wave DFT calculation with PBE was carried out for a relaxed CeThSc crystal.

Its crystal system is monoclinic.

The space group is C2/m (No. 12) and the conventional cell measures 17.769, 3.430 and 5.761 Å, with angles of 90.00, 107.22 and 90.00 degrees. The asymmetric unit holds Ce at (0.248, 0.000, 0.270), Th at (0.087, 0.000, 0.754) and Sc at (0.078, 0.500, 0.248).

---

Run Q
A plane-wave DFT calculation with PBE was carried out for a relaxed CeThSc crystal.

Its crystal system is tetragonal.

The space group is I4mm (No. 107) and the conventional cell measures 3.491, 3.491 and 14.015 Å, with angles of 90.00, 90.00 and 90.00 degrees. The asymmetric unit holds Ce at (0.000, 0.000, 0.000), Th at (0.000, 0.000, 0.668) and Sc at (0.000, 0.000, 0.332).

---

Question: of the structures shown, which is the least stable? Reply: run Q.